Entry 1:
VASP calculation (PBE) on an optimized crystal structure of AsBrOF8.

abc: 8.901 8.899 8.919
angles: 89.46 90.00 90.00
Positions (direct):
1 As 0.640 0.888 0.636
2 As 0.863 0.616 0.139
3 As 0.363 0.384 0.861
4 As 0.140 0.112 0.364
5 Br 0.767 0.462 0.701
6 Br 0.199 0.979 0.792
7 Br 0.699 0.021 0.208
8 Br 0.267 0.538 0.299
9 O 0.707 0.386 0.553
10 O 0.052 0.042 0.868
11 O 0.552 0.958 0.132
12 O 0.207 0.614 0.447
13 F 0.634 0.683 0.622
14 F 0.870 0.618 0.940
15 F 0.568 0.372 0.864
16 F 0.366 0.178 0.870
17 F 0.125 0.112 0.569
18 F 0.440 0.883 0.640
19 F 0.866 0.822 0.130
20 F 0.625 0.888 0.431
21 F 0.940 0.117 0.360
22 F 0.134 0.317 0.378
23 F 0.370 0.382 0.060
24 F 0.068 0.628 0.136
25 F 0.639 0.084 0.634
26 F 0.870 0.626 0.335
27 F 0.168 0.381 0.863
28 F 0.375 0.580 0.857
29 F 0.149 0.127 0.170
30 F 0.836 0.881 0.618
31 F 0.875 0.420 0.143
32 F 0.649 0.873 0.830
33 F 0.336 0.119 0.382
34 F 0.139 0.916 0.366
35 F 0.370 0.374 0.665
36 F 0.668 0.619 0.137
37 F 0.940 0.543 0.642
38 F 0.863 0.312 0.793
39 F 0.289 0.883 0.943
40 F 0.137 0.807 0.713
41 F 0.789 0.117 0.057
42 F 0.637 0.193 0.287
43 F 0.440 0.457 0.358
44 F 0.363 0.688 0.207

Calculated values
Calculated density: 3035 kg/m³
Crystal system: monoclinic
Density of states at the Fermi level: 0.00 states/eV/atom
Formation energy (no corrections): -1.46 eV/atom



Entry 2:
VASP calculation (PBE) on an optimized crystal structure of Ca3ErU2As6.

abc: 7.208 7.208 7.245
angles: 99.54 99.54 119.98
Last column: magnetic moment on the atom in μB.
Positions (direct):
1 Ca 0.165 0.835 0.500  -0.01
2 Ca 0.835 0.165 0.500  -0.01
3 Ca 0.500 0.500 0.500  -0.01
4 Er 0.000 0.000 0.000  -0.02
5 U 0.333 0.667 0.000  1.71
6 U 0.667 0.333 0.000  1.71
7 As 0.923 0.584 0.770  -0.05
8 As 0.738 0.738 0.231  -0.05
9 As 0.077 0.416 0.230  -0.05
10 As 0.584 0.923 0.770  -0.05
11 As 0.262 0.262 0.769  -0.05
12 As 0.416 0.077 0.230  -0.05

Calculated values
Calculated density: 6549 kg/m³
Crystal system: monoclinic
Formation energy from the elements: -1.098 eV/atom
Density of states at the Fermi level: 1.02 states/eV/atom



Entry 3:
VASP calculation (PBE) on an optimized crystal structure of Sb2OsCI.

abc: 4.554 4.554 4.748
angles: 90.00 90.00 90.00
Positions (direct):
1 I 0.000 0.000 0.500
2 Sb 0.000 0.500 0.000
3 Sb 0.500 0.000 0.000
4 C 0.000 0.000 0.000
5 Os 0.500 0.500 0.500

Calculated values
Calculated density: 9655 kg/m³
Crystal system: tetragonal
Density of states at the Fermi level: 0.46 states/eV/atom
Formation energy (no corrections): 1.67 eV/atom
Energy relative to the lowest polymorph listed for this composition: 0.0 meV/atom



Copy entry 2 word for word.
VASP calculation (PBE) on an optimized crystal structure of Ca3ErU2As6.

abc: 7.208 7.208 7.245
angles: 99.54 99.54 119.98
Last column: magnetic moment on the atom in μB.
Positions (direct):
1 Ca 0.165 0.835 0.500  -0.01
2 Ca 0.835 0.165 0.500  -0.01
3 Ca 0.500 0.500 0.500  -0.01
4 Er 0.000 0.000 0.000  -0.02
5 U 0.333 0.667 0.000  1.71
6 U 0.667 0.333 0.000  1.71
7 As 0.923 0.584 0.770  -0.05
8 As 0.738 0.738 0.231  -0.05
9 As 0.077 0.416 0.230  -0.05
10 As 0.584 0.923 0.770  -0.05
11 As 0.262 0.262 0.769  -0.05
12 As 0.416 0.077 0.230  -0.05

Calculated values
Calculated density: 6549 kg/m³
Crystal system: monoclinic
Formation energy from the elements: -1.098 eV/atom
Density of states at the Fermi level: 1.02 states/eV/atom



Look up the calculated density of the first one.
3035 kg/m³



What is the formula in the third record?
Sb2OsCI